Entry from Alexandria via LeMat-Bulk: a relaxed RbMgAgF4 crystal (GGA-PBE).

abc: 4.018 4.018 13.440
angles: 90.00 90.00 90.00
Positions (direct):
Rb 0.000 0.000 0.000
Rb 0.500 0.500 0.500
Mg 0.000 0.000 0.656
Mg 0.500 0.500 0.156
Ag 0.000 0.000 0.297
Ag 0.500 0.500 0.797
F 0.000 0.000 0.502
F 0.000 0.000 0.804
F 0.000 0.500 0.159
F 0.000 0.500 0.659
F 0.500 0.000 0.159
F 0.500 0.000 0.659
F 0.500 0.500 0.002
F 0.500 0.500 0.304

Summary:
The density of states at the Fermi level comes out at 0.0 states/eV/f.u. The calculation puts the raw total energy at -61.6 eV for the cell shown. Its symmetry is I4mm, No. 107. Its crystal system is tetragonal. The calculation puts the magnetic moment at 0.00 μB/f.u. As for the formation energy (no corrections): -2555 meV/atom.

Entry from Alexandria via LeMat-Bulk: a relaxed K2Rb2Sr crystal (GGA-PBE).

abc: 5.820 5.820 23.621
angles: 90.00 90.00 90.00
Positions (direct):
K 0.000 0.500 0.250
K 0.000 0.500 0.750
K 0.500 0.000 0.250
K 0.500 0.000 0.750
Rb 0.000 0.000 0.096
Rb 0.000 0.000 0.904
Rb 0.500 0.500 0.404
Rb 0.500 0.500 0.596
Sr 0.000 0.000 0.500
Sr 0.500 0.500 0.000

Summary:
The density of states at the Fermi level comes out at 4.8 states/eV/f.u. The calculation puts the raw total energy at -9.8 eV for the cell shown. For the formation energy, the calculation gives 0.18 eV per atom. Its symmetry is I4/mmm, No. 139. Its energy above the most stable polymorph in this dataset is 0.0553 eV per atom. Its crystal system is tetragonal. The calculation puts the magnetic moment at 0.00 μB/f.u.

Entry from Alexandria via LeMat-Bulk: a relaxed AcDy2Rh crystal (GGA-PBE).

abc: 3.857 3.857 32.020
angles: 90.00 90.00 120.00
Positions (direct):
Ac 0.000 0.000 0.000
Ac 0.333 0.667 0.667
Ac 0.667 0.333 0.333
Dy 0.000 0.000 0.117
Dy 0.000 0.000 0.883
Dy 0.333 0.667 0.549
Dy 0.333 0.667 0.784
Dy 0.667 0.333 0.216
Dy 0.667 0.333 0.451
Rh 0.000 0.000 0.500
Rh 0.333 0.667 0.167
Rh 0.667 0.333 0.833

Summary:
The density of states at the Fermi level comes out at 3.5 states/eV/f.u. The calculation puts the raw total energy at -64.8 eV for the cell shown. For the formation energy, the calculation gives -0.24 eV per atom. Its symmetry is R-3m, No. 166. Its energy above the most stable polymorph in this dataset is 0.2351 eV per atom. Its crystal system is trigonal. The calculation puts the magnetic moment at 0.00 μB/f.u.

Entry from Alexandria via LeMat-Bulk: a relaxed CaPm15Dy4 crystal (GGA-PBE).

abc: 5.150 5.150 25.653
angles: 90.00 90.00 90.00
Positions (direct):
Ca 0.000 0.000 0.000
Pm 0.000 0.500 0.104
Pm 0.000 0.500 0.301
Pm 0.000 0.500 0.500
Pm 0.000 0.500 0.699
Pm 0.000 0.500 0.896
Pm 0.500 0.000 0.104
Pm 0.500 0.000 0.301
Pm 0.500 0.000 0.500
Pm 0.500 0.000 0.699
Pm 0.500 0.000 0.896
Pm 0.500 0.500 0.000
Pm 0.500 0.500 0.201
Pm 0.500 0.500 0.400
Pm 0.500 0.500 0.600
Pm 0.500 0.500 0.799
Dy 0.000 0.000 0.201
Dy 0.000 0.000 0.401
Dy 0.000 0.000 0.599
Dy 0.000 0.000 0.799

Summary:
The density of states at the Fermi level comes out at 28.8 states/eV/f.u. The calculation puts the raw total energy at -91.2 eV for the cell shown. For the formation energy, the calculation gives 0.03 eV per atom. Its symmetry is P4/mmm, No. 123. Its crystal system is tetragonal. The calculation puts the magnetic moment at 0.00 μB/f.u.